Entry 1:
Entry from the Alexandria database: crystalline LiHfC2 at its relaxed geometry (PBE).

Cell: 3.672 3.672 12.304 Å, 90.00 90.00 90.00°
Space group I-42d (No. 122)
One atom of each set of equivalent atoms:
Li1 0.000 0.000 0.000 [4 per cell]
Hf1 0.000 0.000 0.500 [4 per cell]
C1 0.097 0.250 0.125 [8 per cell]

Properties
**Density of states at the Fermi level**: 1.5 states/eV/cell
**Uncorrected energy**: -6.831 eV per atom


Entry 2:
Entry from the Alexandria database: crystalline LiHfC2 at its relaxed geometry (PBE).

Cell: 5.492 5.492 5.492 Å, 90.00 90.00 90.00°
Space group Fm-3m (No. 225)
One atom of each set of equivalent atoms:
Li1 0.000 0.000 0.000 [4 per cell]
Hf1 0.000 0.000 0.500 [4 per cell]
C1 0.250 0.250 0.250 [8 per cell]

Properties
**Density of states at the Fermi level**: 16.3 states/eV/cell
**Uncorrected energy**: -6.918 eV per atom


Entry 3:
Entry from the Alexandria database: crystalline LiHfC3 at its relaxed geometry (PBE).

Cell: 4.322 4.322 4.322 Å, 90.00 90.00 90.00°
Space group Pm-3m (No. 221)
One atom of each set of equivalent atoms:
Li1 0.000 0.000 0.000 [1 per cell]
Hf1 0.500 0.500 0.500 [1 per cell]
C1 0.000 0.500 0.500 [3 per cell]

Properties
**Density of states at the Fermi level**: 3.6 states/eV/cell
**Uncorrected energy**: -6.149 eV per atom


Entry 4:
Entry from the Alexandria database: crystalline LiHfC3 at its relaxed geometry (PBE).

Cell: 3.614 3.614 3.614 Å, 90.00 90.00 90.00°
Space group Pm-3m (No. 221)
One atom of each set of equivalent atoms:
Li1 0.000 0.000 0.000 [1 per cell]
Hf1 0.500 0.500 0.500 [1 per cell]
C1 0.000 0.000 0.500 [3 per cell]

Properties
**Density of states at the Fermi level**: 1.9 states/eV/cell
**Uncorrected energy**: -6.226 eV per atom


Entry 5:
Entry from the Alexandria database: crystalline Li2HfMgC at its relaxed geometry (PBE).

Cell: 4.240 4.240 4.310 Å, 90.00 90.00 90.00°
Space group P4/mmm (No. 123)
One atom of each set of equivalent atoms:
Li1 0.000 0.500 0.000 [2 per cell]
Hf1 0.000 0.000 0.500 [1 per cell]
Mg1 0.500 0.500 0.500 [1 per cell]
C1 0.500 0.500 0.000 [1 per cell]

Properties
**Density of states at the Fermi level**: 3.1 states/eV/cell
**Uncorrected energy**: -4.148 eV per atom


Entry 6:
Entry from the Alexandria database: crystalline LiHfC2N at its relaxed geometry (PBE).

Cell: 3.234 3.234 5.146 Å, 90.00 90.00 90.00°
Space group P4/mmm (No. 123)
One atom of each set of equivalent atoms:
Li1 0.000 0.000 0.000 [1 per cell]
Hf1 0.000 0.000 0.500 [1 per cell]
C1 0.000 0.500 0.000 [2 per cell]
N1 0.500 0.500 0.500 [1 per cell]

Properties
**Density of states at the Fermi level**: 2.4 states/eV/cell
**Formation energy without anion corrections**: 1711 meV per atom


Entry 7:
Entry from the Alexandria database: crystalline LiHfPCO7 at its relaxed geometry (PBE).

Cell: 5.671 6.621 9.945 Å, 90.00 90.09 90.00°
Space group P2_1 (No. 4)
One atom of each set of equivalent atoms:
Li1 0.249 0.000 0.098 [2 per cell]
Hf1 0.252 0.588 0.653 [2 per cell]
P1 0.249 0.089 0.561 [2 per cell]
C1 0.250 0.653 0.911 [2 per cell]
O1 0.028 0.090 0.470 [2 per cell]
O2 0.056 0.607 0.840 [2 per cell]
O3 0.249 0.734 0.023 [2 per cell]
O4 0.251 0.278 0.651 [2 per cell]
O5 0.251 0.900 0.650 [2 per cell]
O6 0.445 0.607 0.841 [2 per cell]
O7 0.466 0.090 0.468 [2 per cell]

Properties
**Density of states at the Fermi level**: 0.0 states/eV/cell
**Formation energy without anion corrections**: -2394 meV per atom


Entry 8:
Entry from the Alexandria database: crystalline Li2HfPbC at its relaxed geometry (PBE).

Cell: 4.573 4.573 5.558 Å, 90.00 90.00 90.00°
Space group P4/mmm (No. 123)
One atom of each set of equivalent atoms:
Li1 0.000 0.500 0.000 [2 per cell]
Hf1 0.000 0.000 0.500 [1 per cell]
Pb1 0.000 0.000 0.000 [1 per cell]
C1 0.500 0.500 0.500 [1 per cell]

Properties
**Density of states at the Fermi level**: 2.4 states/eV/cell
**Uncorrected energy**: -3.698 eV per atom


Entry 9:
Entry from the Alexandria database: crystalline LiHfPb2C at its relaxed geometry (PBE).

Cell: 4.657 4.657 4.978 Å, 90.00 90.00 90.00°
Space group P4/mmm (No. 123)
One atom of each set of equivalent atoms:
Li1 0.000 0.000 0.000 [1 per cell]
Hf1 0.000 0.000 0.500 [1 per cell]
Pb1 0.000 0.500 0.000 [2 per cell]
C1 0.500 0.500 0.500 [1 per cell]

Properties
**Density of states at the Fermi level**: 5.3 states/eV/cell
**Uncorrected energy**: -4.078 eV per atom


Entry 10:
Entry from the Alexandria database: crystalline LiHf2PtC at its relaxed geometry (PBE).

Cell: 4.468 4.468 3.869 Å, 90.00 90.00 90.00°
Space group P4/mmm (No. 123)
One atom of each set of equivalent atoms:
Li1 0.000 0.000 0.000 [1 per cell]
Hf1 0.000 0.500 0.500 [2 per cell]
Pt1 0.500 0.500 0.000 [1 per cell]
C1 0.000 0.000 0.500 [1 per cell]

Properties
**Density of states at the Fermi level**: 2.2 states/eV/cell
**Uncorrected energy**: -7.996 eV per atom


Entry 11:
Entry from the Alexandria database: crystalline LiHf2ReC at its relaxed geometry (PBE).

Cell: 4.578 4.578 3.910 Å, 90.00 90.00 90.00°
Space group P4/mmm (No. 123)
One atom of each set of equivalent atoms:
Li1 0.000 0.000 0.000 [1 per cell]
Hf1 0.000 0.500 0.000 [2 per cell]
Re1 0.000 0.000 0.500 [1 per cell]
C1 0.500 0.500 0.500 [1 per cell]

Properties
**Density of states at the Fermi level**: 2.7 states/eV/cell
**Uncorrected energy**: -6.911 eV per atom


Entry 12:
Entry from the Alexandria database: crystalline LiHfRuC2 at its relaxed geometry (PBE).

Cell: 4.331 4.331 4.913 Å, 90.00 90.00 90.00°
Space group P4/mmm (No. 123)
One atom of each set of equivalent atoms:
Li1 0.000 0.000 0.000 [1 per cell]
Hf1 0.500 0.500 0.500 [1 per cell]
Ru1 0.500 0.500 0.000 [1 per cell]
C1 0.000 0.500 0.500 [2 per cell]

Properties
**Density of states at the Fermi level**: 3.8 states/eV/cell
**Uncorrected energy**: -6.103 eV per atom